## TeRu2Rh (GGA-PBE)

Data for a geometry-optimized TeRu2Rh structure.

Spin magnetization: 1.64 μB/f.u.
Formation energy from raw total energies: 0.814 eV per atom
Fermi-level density of states: 6.98 states/eV per cell

Cell lengths 2.8861, 2.8861, 9.1682 Å; angles 90.00, 90.00, 118.53 degrees
Closest atoms and distances in Å follow each position.
Atoms (fractional coordinates):
Ru  0.0000  0.0000  0.5107  2 Rh 2.64, 2 Te 2.81, 6 Ru 2.89-2.95
Ru  0.0000  0.0000  0.9893  2 Rh 2.64, 2 Te 2.81, 6 Ru 2.89-2.95
Te  0.5000  0.5000  0.2500  4 Ru 2.81, 6 Te 2.89-2.95
Rh  0.5000  0.5000  0.7500  4 Ru 2.64, 6 Rh 2.89-2.95